1.
VASP calculation (GGA-PBE) on crystalline Tb4SmHoEr2 at its relaxed geometry.

Values from the calculation:
As for the energy: -36.805 eV per cell.

Geometry as CIF:
```
data_Tb4SmHoEr2
_space_group_name_H-M_alt 'P 4/m m m'
_space_group_IT_number 123
_space_group_name_Hall '-P 4 2'
_cell_length_a 5.018
_cell_length_b 5.018
_cell_length_c 10.041
_cell_angle_alpha 90.00
_cell_angle_beta 90.00
_cell_angle_gamma 90.00
loop_
_atom_site_label
_atom_site_fract_x
_atom_site_fract_y
_atom_site_fract_z
Tb1 0.000 0.500 0.248
Sm1 0.000 0.000 0.500
Ho1 0.500 0.500 0.000
Er1 0.000 0.000 0.000
Er2 0.500 0.500 0.500
```



2.
VASP calculation (GGA-PBE) on crystalline Ca2AsRuI at its relaxed geometry.

Values from the calculation:
As for the formation energy without anion corrections: 0.047 eV per atom.

Geometry as CIF:
```
data_Ca2AsRuI
_space_group_name_H-M_alt 'P 4/m m m'
_space_group_IT_number 123
_space_group_name_Hall '-P 4 2'
_cell_length_a 5.542
_cell_length_b 5.542
_cell_length_c 4.850
_cell_angle_alpha 90.00
_cell_angle_beta 90.00
_cell_angle_gamma 90.00
loop_
_atom_site_label
_atom_site_fract_x
_atom_site_fract_y
_atom_site_fract_z
Ca1 0.000 0.500 0.000
As1 0.000 0.000 0.500
Ru1 0.500 0.500 0.000
I1 0.500 0.500 0.500
```



3.
VASP calculation (GGA-PBE) on crystalline Er2Th15Sc2 at its relaxed geometry.

Values from the calculation:
As for the energy: -381.789 eV per cell.

Geometry as CIF:
```
data_Er2Th15Sc2
_space_group_name_H-M_alt 'R -3 m'
_space_group_IT_number 166
_space_group_name_Hall '-R 3 2"'
_cell_length_a 11.2771
_cell_length_b 11.2771
_cell_length_c 17.3147
_cell_angle_alpha 90.00
_cell_angle_beta 90.00
_cell_angle_gamma 120.00
loop_
_atom_site_label
_atom_site_fract_x
_atom_site_fract_y
_atom_site_fract_z
Er1 0.0000 0.0000 0.1950
Th1 0.0000 0.2963 0.5000
Th2 0.0000 0.5000 0.0000
Th3 0.0084 0.5042 0.6443
Sc1 0.0000 0.0000 0.4059
```



4.
VASP calculation (GGA-PBE) on crystalline La2Pr2SmHo at its relaxed geometry.

Values from the calculation:
As for the energy: -56.826 eV per cell.

Geometry as CIF:
```
data_La2Pr2SmHo
_space_group_name_H-M_alt 'P m m a'
_space_group_IT_number 51
_cell_length_a 7.172
_cell_length_b 5.818
_cell_length_c 10.057
_cell_angle_alpha 90.00
_cell_angle_beta 90.00
_cell_angle_gamma 90.00
loop_
_space_group_symop_operation_xyz
'x,y,z'
'-x,-y,-z'
'-x+1/2,-y,z'
'x+1/2,y,-z'
'x+1/2,-y,-z'
'-x+1/2,y,z'
'-x,y,-z'
'x,-y,z'
loop_
_atom_site_label
_atom_site_fract_x
_atom_site_fract_y
_atom_site_fract_z
La1 0.000 0.000 0.000
La2 0.250 0.500 0.175
Pr1 0.250 0.000 0.332
Pr2 0.250 0.500 0.835
Sm1 0.250 0.000 0.658
Ho1 0.000 0.500 0.500
```



5.
VASP calculation (GGA-PBE) on crystalline Cs2NpNi2S4 at its relaxed geometry.

Values from the calculation:
As for the formation energy without anion corrections: -0.995 eV per atom.

Geometry as CIF:
```
data_Cs2NpNi2S4
_space_group_name_H-M_alt 'C 1 2/m 1'
_space_group_IT_number 12
_cell_length_a 14.316
_cell_length_b 3.930
_cell_length_c 8.153
_cell_angle_alpha 90.00
_cell_angle_beta 108.01
_cell_angle_gamma 90.00
loop_
_space_group_symop_operation_xyz
'x,y,z'
'-x,-y,-z'
'-x,y,-z'
'x,-y,z'
'x+1/2,y+1/2,z'
'-x+1/2,-y+1/2,-z'
'-x+1/2,y+1/2,-z'
'x+1/2,-y+1/2,z'
loop_
_atom_site_label
_atom_site_fract_x
_atom_site_fract_y
_atom_site_fract_z
Cs1 0.141 0.000 0.064
Np1 0.000 0.000 0.500
Ni1 0.182 0.500 0.485
S1 0.025 0.500 0.291
S2 0.195 0.000 0.639
```



6.
VASP calculation (GGA-PBE) on crystalline KGa6H2 at its relaxed geometry.

Values from the calculation:
As for the energy: -25.661 eV per cell.

Geometry as CIF:
```
data_KGa6H2
_space_group_name_H-M_alt 'P -1'
_space_group_IT_number 2
_cell_length_a 5.961
_cell_length_b 5.993
_cell_length_c 6.887
_cell_angle_alpha 104.07
_cell_angle_beta 104.54
_cell_angle_gamma 115.49
loop_
_space_group_symop_operation_xyz
'x,y,z'
'-x,-y,-z'
loop_
_atom_site_label
_atom_site_fract_x
_atom_site_fract_y
_atom_site_fract_z
K1 0.000 0.000 0.000
Ga1 0.250 0.499 0.751
Ga2 0.254 0.754 0.502
Ga3 0.496 0.254 0.748
H1 0.289 0.703 0.001
```



7.
VASP calculation (GGA-PBE) on crystalline NaTi2InSn at its relaxed geometry.

Values from the calculation:
As for the energy: -17.938 eV per cell.

Geometry as CIF:
```
data_NaTi2InSn
_space_group_name_H-M_alt 'P 4/m m m'
_space_group_IT_number 123
_space_group_name_Hall '-P 4 2'
_cell_length_a 4.822
_cell_length_b 4.822
_cell_length_c 5.036
_cell_angle_alpha 90.00
_cell_angle_beta 90.00
_cell_angle_gamma 90.00
loop_
_atom_site_label
_atom_site_fract_x
_atom_site_fract_y
_atom_site_fract_z
Na1 0.000 0.000 0.000
Ti1 0.000 0.500 0.000
In1 0.500 0.500 0.500
Sn1 0.000 0.000 0.500
```



8.
VASP calculation (GGA-PBE) on crystalline LiHf2S2 at its relaxed geometry.

Values from the calculation:
For the excess energy over the best structure of this formula in the dataset, the calculation gives 0.00 kcal/mol of atoms. As for the formation energy without anion corrections: -0.916 eV per atom.

Geometry as CIF:
```
data_LiHf2S2
_space_group_name_H-M_alt 'P 4/m b m'
_space_group_IT_number 127
_space_group_name_Hall '-P 4 2ab'
_cell_length_a 7.004
_cell_length_b 7.004
_cell_length_c 3.331
_cell_angle_alpha 90.00
_cell_angle_beta 90.00
_cell_angle_gamma 90.00
loop_
_atom_site_label
_atom_site_fract_x
_atom_site_fract_y
_atom_site_fract_z
Li1 0.000 0.000 0.000
Hf1 0.152 0.348 0.500
S1 0.145 0.645 0.000
```



no.,size of the total moment (μB per cell)
1,0.000
2,0.827
3,0.003
4,0.001
5,2.815
6,0.000
7,0.000
8,0.000